# 1
Density functional theory data (PBE) for a geometry-optimized Na2AlHg2 structure.

Cell and atoms, written as CIF:
```
data_Na2AlHg2
_chemical_formula_sum 'Na4 Al2 Hg4'
_cell_length_a 7.2298
_cell_length_b 7.2298
_cell_length_c 4.9579
_cell_angle_alpha 90.00
_cell_angle_beta 90.00
_cell_angle_gamma 90.00
_symmetry_space_group_name_H-M 'P 4/m b m'
_symmetry_Int_Tables_number 127
_symmetry_space_group_name_Hall '-P 4 2ab'
loop_
_atom_site_label
_atom_site_type_symbol
_atom_site_fract_x
_atom_site_fract_y
_atom_site_fract_z
Na1 Na 0.1679 0.3321 0.0000
Al1 Al 0.0000 0.0000 0.5000
Hg1 Hg 0.1498 0.6498 0.5000
```

Output
Excess energy over the best structure of this formula in the dataset, meV/atom: 0
Formation energy from the elements, eV per atom: -0.069
Calculated density, g/cm3: 6.08
Raw total energy, hartree per atom: -0.05386

# 2
Density functional theory data (PBE) for a geometry-optimized Na2Al2Hg structure.

Cell and atoms, written as CIF:
```
data_Na2Al2Hg
_chemical_formula_sum 'Na4 Al4 Hg2'
_cell_length_a 9.4407
_cell_length_b 9.4407
_cell_length_c 2.9351
_cell_angle_alpha 90.00
_cell_angle_beta 90.00
_cell_angle_gamma 90.00
_symmetry_space_group_name_H-M 'P 4/m b m'
_symmetry_Int_Tables_number 127
_symmetry_space_group_name_Hall '-P 4 2ab'
loop_
_atom_site_label
_atom_site_type_symbol
_atom_site_fract_x
_atom_site_fract_y
_atom_site_fract_z
Na1 Na 0.1950 0.3050 0.0000
Al1 Al 0.0982 0.5982 0.5000
Hg1 Hg 0.0000 0.0000 0.0000
```

Output
Excess energy over the best structure of this formula in the dataset, meV/atom: 156
Formation energy from the elements, eV per atom: 0.205
Calculated density, g/cm3: 3.82
Raw total energy, hartree per atom: -0.06907

# 3
Density functional theory data (PBE) for a geometry-optimized Na2AlHg structure.

Cell and atoms, written as CIF:
```
data_Na2AlHg
_chemical_formula_sum 'Na8 Al4 Hg4'
_cell_length_a 8.5497
_cell_length_b 8.5497
_cell_length_c 5.8047
_cell_angle_alpha 90.00
_cell_angle_beta 90.00
_cell_angle_gamma 90.00
_symmetry_space_group_name_H-M 'I -4 2 d'
_symmetry_Int_Tables_number 122
_symmetry_space_group_name_Hall 'I -4 2bw'
loop_
_atom_site_label
_atom_site_type_symbol
_atom_site_fract_x
_atom_site_fract_y
_atom_site_fract_z
Na1 Na 0.2399 0.2500 0.1250
Al1 Al 0.0000 0.0000 0.5000
Hg1 Hg 0.0000 0.0000 0.0000
```

Output
Formation energy from the elements, eV per atom: 0.150
Calculated density, g/cm3: 4.28
Raw total energy, hartree per atom: -0.05590

# 4
Density functional theory data (PBE) for a geometry-optimized Na2Al2Hg structure.

Cell and atoms, written as CIF:
```
data_Na2Al2Hg
_chemical_formula_sum 'Na4 Al4 Hg2'
_cell_length_a 4.0767
_cell_length_b 4.0767
_cell_length_c 14.7187
_cell_angle_alpha 90.00
_cell_angle_beta 90.00
_cell_angle_gamma 90.00
_symmetry_space_group_name_H-M 'I 4/m m m'
_symmetry_Int_Tables_number 139
_symmetry_space_group_name_Hall '-I 4 2'
loop_
_atom_site_label
_atom_site_type_symbol
_atom_site_fract_x
_atom_site_fract_y
_atom_site_fract_z
Na1 Na 0.0000 0.5000 0.2500
Al1 Al 0.0000 0.0000 0.0871
Hg1 Hg 0.0000 0.0000 0.5000
```

Output
Excess energy over the best structure of this formula in the dataset, meV/atom: 240
Formation energy from the elements, eV per atom: 0.289
Calculated density, g/cm3: 4.08
Raw total energy, hartree per atom: -0.06600

# 5
Density functional theory data (PBE) for a geometry-optimized Na2AlHg2 structure.

Cell and atoms, written as CIF:
```
data_Na2AlHg2
_chemical_formula_sum 'Na4 Al2 Hg4'
_cell_length_a 4.1956
_cell_length_b 4.1956
_cell_length_c 16.1749
_cell_angle_alpha 90.00
_cell_angle_beta 90.00
_cell_angle_gamma 90.00
_symmetry_space_group_name_H-M 'I 4/m m m'
_symmetry_Int_Tables_number 139
_symmetry_space_group_name_Hall '-I 4 2'
loop_
_atom_site_label
_atom_site_type_symbol
_atom_site_fract_x
_atom_site_fract_y
_atom_site_fract_z
Na1 Na 0.0000 0.0000 0.0981
Al1 Al 0.0000 0.0000 0.5000
Hg1 Hg 0.0000 0.5000 0.2500
```

Output
Excess energy over the best structure of this formula in the dataset, meV/atom: 213
Formation energy from the elements, eV per atom: 0.144
Calculated density, g/cm3: 5.53
Raw total energy, hartree per atom: -0.04606

# 6
Density functional theory data (PBE) for a geometry-optimized NaAlHg structure.

Cell and atoms, written as CIF:
```
data_NaAlHg
_chemical_formula_sum 'Na1 Al1 Hg1'
_cell_length_a 4.7897
_cell_length_b 4.7897
_cell_length_c 3.4117
_cell_angle_alpha 90.00
_cell_angle_beta 90.00
_cell_angle_gamma 120.00
_symmetry_space_group_name_H-M 'P -6 m 2'
_symmetry_Int_Tables_number 187
_symmetry_space_group_name_Hall 'P -6 2'
loop_
_atom_site_label
_atom_site_type_symbol
_atom_site_fract_x
_atom_site_fract_y
_atom_site_fract_z
Na1 Na 0.0000 0.0000 0.0000
Al1 Al 0.3333 0.6667 0.5000
Hg1 Hg 0.6667 0.3333 0.5000
```

Output
Excess energy over the best structure of this formula in the dataset, meV/atom: 19
Formation energy from the elements, eV per atom: -0.047
Calculated density, g/cm3: 6.14
Raw total energy, hartree per atom: -0.06744

# 7
Density functional theory data (PBE) for a geometry-optimized NaNbAlHg2 structure.

Cell and atoms, written as CIF:
```
data_NaNbAlHg2
_chemical_formula_sum 'Na1 Nb1 Al1 Hg2'
_cell_length_a 5.5114
_cell_length_b 5.5114
_cell_length_c 5.7470
_cell_angle_alpha 90.00
_cell_angle_beta 90.00
_cell_angle_gamma 90.00
_symmetry_space_group_name_H-M 'P 4/m m m'
_symmetry_Int_Tables_number 123
_symmetry_space_group_name_Hall '-P 4 2'
loop_
_atom_site_label
_atom_site_type_symbol
_atom_site_fract_x
_atom_site_fract_y
_atom_site_fract_z
Na1 Na 0.0000 0.0000 0.0000
Nb1 Nb 0.0000 0.0000 0.5000
Al1 Al 0.5000 0.5000 0.0000
Hg1 Hg 0.0000 0.5000 0.5000
```

Output
Formation energy from the elements, eV per atom: 1.098
Calculated density, g/cm3: 5.18
Raw total energy, hartree per atom: -0.07529

# 8
Density functional theory data (PBE) for a geometry-optimized NaAlHgPb structure.

Cell and atoms, written as CIF:
```
data_NaAlHgPb
_chemical_formula_sum 'Na4 Al4 Hg4 Pb4'
_cell_length_a 7.2616
_cell_length_b 7.2616
_cell_length_c 7.2616
_cell_angle_alpha 90.00
_cell_angle_beta 90.00
_cell_angle_gamma 90.00
_symmetry_space_group_name_H-M 'F -4 3 m'
_symmetry_Int_Tables_number 216
_symmetry_space_group_name_Hall 'F -4 2 3'
loop_
_atom_site_label
_atom_site_type_symbol
_atom_site_fract_x
_atom_site_fract_y
_atom_site_fract_z
Na1 Na 0.0000 0.0000 0.0000
Al1 Al 0.0000 0.0000 0.5000
Hg1 Hg 0.2500 0.2500 0.2500
Pb1 Pb 0.2500 0.2500 0.7500
```

Output
Formation energy from the elements, eV per atom: -0.004
Calculated density, g/cm3: 7.94
Raw total energy, hartree per atom: -0.08348

# 9
Density functional theory data (PBE) for a geometry-optimized NaPrAlHg structure.

Cell and atoms, written as CIF:
```
data_NaPrAlHg
_chemical_formula_sum 'Na4 Pr4 Al4 Hg4'
_cell_length_a 7.4352
_cell_length_b 7.4352
_cell_length_c 7.4352
_cell_angle_alpha 90.00
_cell_angle_beta 90.00
_cell_angle_gamma 90.00
_symmetry_space_group_name_H-M 'F -4 3 m'
_symmetry_Int_Tables_number 216
_symmetry_space_group_name_Hall 'F -4 2 3'
loop_
_atom_site_label
_atom_site_type_symbol
_atom_site_fract_x
_atom_site_fract_y
_atom_site_fract_z
Na1 Na 0.0000 0.0000 0.0000
Pr1 Pr 0.0000 0.0000 0.5000
Al1 Al 0.2500 0.2500 0.2500
Hg1 Hg 0.2500 0.2500 0.7500
```

Output
Formation energy from the elements, eV per atom: -0.207
Calculated density, g/cm3: 6.33
Raw total energy, hartree per atom: -0.10078

# 10
Density functional theory data (PBE) for a geometry-optimized RbNaAlHg2 structure.

Cell and atoms, written as CIF:
```
data_RbNaAlHg2
_chemical_formula_sum 'Rb1 Na1 Al1 Hg2'
_cell_length_a 5.3789
_cell_length_b 5.3789
_cell_length_c 5.8419
_cell_angle_alpha 90.00
_cell_angle_beta 90.00
_cell_angle_gamma 90.00
_symmetry_space_group_name_H-M 'P 4/m m m'
_symmetry_Int_Tables_number 123
_symmetry_space_group_name_Hall '-P 4 2'
loop_
_atom_site_label
_atom_site_type_symbol
_atom_site_fract_x
_atom_site_fract_y
_atom_site_fract_z
Rb1 Rb 0.0000 0.0000 0.0000
Na1 Na 0.5000 0.5000 0.0000
Al1 Al 0.5000 0.5000 0.5000
Hg1 Hg 0.0000 0.5000 0.5000
```

Output
Formation energy from the elements, eV per atom: -0.056
Calculated density, g/cm3: 5.27
Raw total energy, hartree per atom: -0.05079